No. 1
Entry from Alexandria: crystalline CoN3Cl at its relaxed geometry (PBE-GGA).

Results
As for the density of states at the Fermi level: 4.106 states/eV/f.u. Its energy relative to the elements, uncorrected is 1889 meV/atom. Its spin magnetization is 4.56 μB/f.u. Its symmetry is Pm-3m (221). The volume comes out at 10.740 Å³/atom.

The structure in CIF format:
```
data_CoN3Cl
_chemical_formula_sum 'Co1 N3 Cl1'
_space_group_name_H-M_alt 'P 1'
_space_group_IT_number 1
_cell_length_a 3.773
_cell_length_b 3.773
_cell_length_c 3.773
_cell_angle_alpha 90.00
_cell_angle_beta 90.00
_cell_angle_gamma 90.00
loop_
_space_group_symop_operation_xyz
'x,y,z'
loop_
_atom_site_label
_atom_site_fract_x
_atom_site_fract_y
_atom_site_fract_z
_atom_site_occupancy
Co1 0.000 0.000 0.000 1
N1 0.000 0.000 0.500 1
N2 0.000 0.500 0.000 1
N3 0.500 0.000 0.000 1
Cl1 0.500 0.500 0.500 1
```

=====

No. 2
Entry from Alexandria: crystalline SrCo2Sb at its relaxed geometry (PBE-GGA).

Results
As for the density of states at the Fermi level: 2.389 states/eV/f.u. Its energy relative to the elements, uncorrected is -206 meV/atom. Its spin magnetization is 2.06 μB/f.u. Its symmetry is R3m (160). The volume comes out at 21.739 Å³/atom.

The structure in CIF format:
```
data_SrCo2Sb
_chemical_formula_sum 'Sr1 Co2 Sb1'
_space_group_name_H-M_alt 'P 1'
_space_group_IT_number 1
_cell_length_a 6.284
_cell_length_b 6.284
_cell_length_c 6.284
_cell_angle_alpha 38.64
_cell_angle_beta 38.64
_cell_angle_gamma 38.64
loop_
_space_group_symop_operation_xyz
'x,y,z'
loop_
_atom_site_label
_atom_site_fract_x
_atom_site_fract_y
_atom_site_fract_z
_atom_site_occupancy
Sr1 0.000 0.000 0.000 1
Co1 0.465 0.465 0.465 1
Co2 0.796 0.796 0.796 1
Sb1 0.193 0.193 0.193 1
```

=====

No. 3
Entry from Alexandria: crystalline MgSbIr2 at its relaxed geometry (PBE-GGA).

Results
As for the density of states at the Fermi level: 4.808 states/eV/f.u. Its energy relative to the elements, uncorrected is 50 meV/atom. Its spin magnetization is 0.00 μB/f.u. Its symmetry is P4mm (99). The volume comes out at 18.774 Å³/atom.

The structure in CIF format:
```
data_MgSbIr2
_chemical_formula_sum 'Mg1 Sb1 Ir2'
_space_group_name_H-M_alt 'P 1'
_space_group_IT_number 1
_cell_length_a 3.052
_cell_length_b 3.052
_cell_length_c 8.060
_cell_angle_alpha 90.00
_cell_angle_beta 90.00
_cell_angle_gamma 90.00
loop_
_space_group_symop_operation_xyz
'x,y,z'
loop_
_atom_site_label
_atom_site_fract_x
_atom_site_fract_y
_atom_site_fract_z
_atom_site_occupancy
Mg1 0.000 0.000 0.000 1
Sb1 0.500 0.500 0.365 1
Ir1 0.000 0.000 0.577 1
Ir2 0.500 0.500 0.801 1
```

=====

No. 4
Entry from Alexandria: crystalline Na2ErZrO4 at its relaxed geometry (PBE-GGA).

Results
As for the density of states at the Fermi level: 2.763 states/eV/f.u. Its energy relative to the elements, uncorrected is -2591 meV/atom. Its spin magnetization is 0.26 μB/f.u. Its symmetry is P2/m (10). The volume comes out at 13.228 Å³/atom.

The structure in CIF format:
```
data_Na2ErZrO4
_chemical_formula_sum 'Na2 Er1 Zr1 O4'
_space_group_name_H-M_alt 'P 1'
_space_group_IT_number 1
_cell_length_a 5.754
_cell_length_b 3.267
_cell_length_c 5.937
_cell_angle_alpha 90.00
_cell_angle_beta 108.50
_cell_angle_gamma 90.00
loop_
_space_group_symop_operation_xyz
'x,y,z'
loop_
_atom_site_label
_atom_site_fract_x
_atom_site_fract_y
_atom_site_fract_z
_atom_site_occupancy
Na1 0.000 0.000 0.000 1
Na2 0.500 0.500 0.000 1
Er1 0.000 0.500 0.500 1
Zr1 0.500 0.000 0.500 1
O1 0.250 0.000 0.712 1
O2 0.260 0.500 0.279 1
O3 0.740 0.500 0.721 1
O4 0.750 0.000 0.288 1
```

=====

No. 5
Entry from Alexandria: crystalline TlPt3S at its relaxed geometry (PBE-GGA).

Results
As for the density of states at the Fermi level: 7.181 states/eV/f.u. Its energy relative to the elements, uncorrected is 1660 meV/atom. Its spin magnetization is 0.00 μB/f.u. Its symmetry is Pm-3m (221). The volume comes out at 25.731 Å³/atom. For the distance to the lowest polymorph of the same formula, the calculation gives 134.5 kJ/mol of atoms.

The structure in CIF format:
```
data_TlPt3S
_chemical_formula_sum 'Tl1 Pt3 S1'
_space_group_name_H-M_alt 'P 1'
_space_group_IT_number 1
_cell_length_a 5.048
_cell_length_b 5.048
_cell_length_c 5.048
_cell_angle_alpha 90.00
_cell_angle_beta 90.00
_cell_angle_gamma 90.00
loop_
_space_group_symop_operation_xyz
'x,y,z'
loop_
_atom_site_label
_atom_site_fract_x
_atom_site_fract_y
_atom_site_fract_z
_atom_site_occupancy
Tl1 0.000 0.000 0.000 1
Pt1 0.000 0.000 0.500 1
Pt2 0.000 0.500 0.000 1
Pt3 0.500 0.000 0.000 1
S1 0.500 0.500 0.500 1
```

=====

No. 6
Entry from Alexandria: crystalline MnBeIr2 at its relaxed geometry (PBE-GGA).

Results
As for the density of states at the Fermi level: 2.959 states/eV/f.u. Its spin magnetization is 3.60 μB/f.u. The calculation puts the energy of formation at -21 kJ/mol of atoms. Its symmetry is P2/m (10). The volume comes out at 12.935 Å³/atom.

The structure in CIF format:
```
data_MnBeIr2
_chemical_formula_sum 'Mn1 Be1 Ir2'
_space_group_name_H-M_alt 'P 1'
_space_group_IT_number 1
_cell_length_a 2.769
_cell_length_b 3.669
_cell_length_c 5.210
_cell_angle_alpha 90.00
_cell_angle_beta 102.21
_cell_angle_gamma 90.00
loop_
_space_group_symop_operation_xyz
'x,y,z'
loop_
_atom_site_label
_atom_site_fract_x
_atom_site_fract_y
_atom_site_fract_z
_atom_site_occupancy
Mn1 0.000 0.000 0.000 1
Be1 0.000 0.000 0.500 1
Ir1 0.368 0.500 0.730 1
Ir2 0.632 0.500 0.270 1
```

=====

No. 7
Entry from Alexandria: crystalline Ce2NdSe5 at its relaxed geometry (PBE-GGA).

Results
As for the density of states at the Fermi level: 19.856 states/eV/f.u. Its energy relative to the elements, uncorrected is -947 meV/atom. Its spin magnetization is 2.33 μB/f.u. Its symmetry is P4/mmm (123). The volume comes out at 31.610 Å³/atom.

The structure in CIF format:
```
data_Ce2NdSe5
_chemical_formula_sum 'Ce2 Nd1 Se5'
_space_group_name_H-M_alt 'P 1'
_space_group_IT_number 1
_cell_length_a 7.003
_cell_length_b 7.003
_cell_length_c 5.156
_cell_angle_alpha 90.00
_cell_angle_beta 90.00
_cell_angle_gamma 90.00
loop_
_space_group_symop_operation_xyz
'x,y,z'
loop_
_atom_site_label
_atom_site_fract_x
_atom_site_fract_y
_atom_site_fract_z
_atom_site_occupancy
Ce1 0.000 0.500 0.000 1
Ce2 0.500 0.000 0.000 1
Nd1 0.000 0.000 0.500 1
Se1 0.000 0.000 0.000 1
Se2 0.286 0.286 0.500 1
Se3 0.286 0.714 0.500 1
Se4 0.714 0.286 0.500 1
Se5 0.714 0.714 0.500 1
```

=====

No. 8
Entry from Alexandria: crystalline Hf2Be2Fe5Si at its relaxed geometry (PBE-GGA).

Results
As for the density of states at the Fermi level: 8.880 states/eV/f.u. Its energy relative to the elements, uncorrected is -318 meV/atom. Its spin magnetization is 4.98 μB/f.u. Its symmetry is P4/mbm (127). The volume comes out at 12.018 Å³/atom.

The structure in CIF format:
```
data_Hf2Be2Fe5Si
_chemical_formula_sum 'Hf4 Be4 Fe10 Si2'
_space_group_name_H-M_alt 'P 1'
_space_group_IT_number 1
_cell_length_a 8.706
_cell_length_b 8.706
_cell_length_c 3.171
_cell_angle_alpha 90.00
_cell_angle_beta 90.00
_cell_angle_gamma 90.00
loop_
_space_group_symop_operation_xyz
'x,y,z'
loop_
_atom_site_label
_atom_site_fract_x
_atom_site_fract_y
_atom_site_fract_z
_atom_site_occupancy
Hf1 0.176 0.324 0.000 1
Hf2 0.324 0.824 0.000 1
Hf3 0.676 0.176 0.000 1
Hf4 0.824 0.676 0.000 1
Be1 0.121 0.621 0.000 1
Be2 0.379 0.121 0.000 1
Be3 0.621 0.879 0.000 1
Be4 0.879 0.379 0.000 1
Fe1 0.000 0.500 0.500 1
Fe2 0.064 0.792 0.500 1
Fe3 0.208 0.064 0.500 1
Fe4 0.292 0.564 0.500 1
Fe5 0.436 0.292 0.500 1
Fe6 0.500 0.000 0.500 1
Fe7 0.564 0.708 0.500 1
Fe8 0.708 0.436 0.500 1
Fe9 0.792 0.936 0.500 1
Fe10 0.936 0.208 0.500 1
Si1 0.000 0.000 0.000 1
Si2 0.500 0.500 0.000 1
```

=====

No. 9
Entry from Alexandria: crystalline TbUIrRh at its relaxed geometry (PBE-GGA).

Results
As for the density of states at the Fermi level: 4.241 states/eV/f.u. Its spin magnetization is 2.41 μB/f.u. The calculation puts the energy of formation at -54 kJ/mol of atoms. Its symmetry is F-43m (216). The volume comes out at 20.216 Å³/atom.

The structure in CIF format:
```
data_TbUIrRh
_chemical_formula_sum 'Tb1 U1 Ir1 Rh1'
_space_group_name_H-M_alt 'P 1'
_space_group_IT_number 1
_cell_length_a 4.854
_cell_length_b 4.854
_cell_length_c 4.854
_cell_angle_alpha 60.00
_cell_angle_beta 60.00
_cell_angle_gamma 60.00
loop_
_space_group_symop_operation_xyz
'x,y,z'
loop_
_atom_site_label
_atom_site_fract_x
_atom_site_fract_y
_atom_site_fract_z
_atom_site_occupancy
Tb1 0.000 0.000 0.000 1
U1 0.500 0.500 0.500 1
Ir1 0.250 0.250 0.250 1
Rh1 0.750 0.750 0.750 1
```

=====

No. 10
Entry from Alexandria: crystalline Tb2SiPd at its relaxed geometry (PBE-GGA).

Results
As for the density of states at the Fermi level: 1.717 states/eV/f.u. Its energy relative to the elements, uncorrected is -823 meV/atom. Its spin magnetization is 0.00 μB/f.u. Its symmetry is P2_1/m (11). The volume comes out at 22.983 Å³/atom.

The structure in CIF format:
```
data_Tb2SiPd
_chemical_formula_sum 'Tb4 Si2 Pd2'
_space_group_name_H-M_alt 'P 1'
_space_group_IT_number 1
_cell_length_a 5.835
_cell_length_b 4.272
_cell_length_c 7.873
_cell_angle_alpha 90.00
_cell_angle_beta 110.47
_cell_angle_gamma 90.00
loop_
_space_group_symop_operation_xyz
'x,y,z'
loop_
_atom_site_label
_atom_site_fract_x
_atom_site_fract_y
_atom_site_fract_z
_atom_site_occupancy
Tb1 0.219 0.250 0.418 1
Tb2 0.221 0.250 0.938 1
Tb3 0.779 0.750 0.062 1
Tb4 0.781 0.750 0.582 1
Si1 0.334 0.750 0.708 1
Si2 0.666 0.250 0.292 1
Pd1 0.364 0.750 0.215 1
Pd2 0.636 0.250 0.785 1
```